1.
NaLa3Hf | PBE-GGA | optimized geometry

a = 5.629 Å, b = 5.629 Å, c = 5.629 Å
α = 90.00°, β = 90.00°, γ = 90.00°
Fractional positions:
La 0.500 0.000 0.000
Na 0.000 0.000 0.000
Hf 0.500 0.500 0.500
La 0.000 0.500 0.000
La 0.000 0.000 0.500

Summary:
total energy = -4.114 eV/atom
ΔE to the lowest computed polymorph = 605 meV per atom
energy relative to the elements = 1097.3 meV/atom
Fermi-level density of states = 10.80 states/eV per cell


2.
Na3LaHf | PBE-GGA | optimized geometry

a = 5.621 Å, b = 5.621 Å, c = 5.621 Å
α = 90.00°, β = 90.00°, γ = 90.00°
Last column: magnetic moment on the atom in μB.
Fractional positions:
Na 0.500 0.000 0.000  0.02
Hf 0.000 0.000 0.000  1.14
La 0.500 0.500 0.500  0.10
Na 0.000 0.000 0.500  0.01
Na 0.000 0.500 0.000  0.01

Summary:
total energy = -2.487 eV/atom
ΔE to the lowest computed polymorph = 0 meV per atom
energy relative to the elements = 1280.5 meV/atom
Fermi-level density of states = 6.03 states/eV per cell


3.
Na2LaHf | PBE-GGA | optimized geometry

a = 8.960 Å, b = 8.960 Å, c = 7.017 Å
α = 50.32°, β = 50.32°, γ = 90.00°
Fractional positions:
Na 0.375 0.362 0.750
Hf 0.750 0.250 0.500
La 0.500 0.500 0.000
Hf 0.000 0.000 0.000
Na 0.112 0.625 0.250
La 0.250 0.750 0.500
Na 0.875 0.888 0.750
Na 0.638 0.125 0.250

Summary:
total energy = -3.549 eV/atom
ΔE to the lowest computed polymorph = 63 meV per atom
energy relative to the elements = 831.1 meV/atom
Fermi-level density of states = 7.31 states/eV per cell


4.
NaLaHfNbO6 | PBE-GGA | optimized geometry

a = 5.772 Å, b = 5.772 Å, c = 5.772 Å
α = 60.00°, β = 60.00°, γ = 60.00°
Fractional positions:
Na 0.250 0.250 0.250
O 0.748 0.748 0.252
O 0.748 0.252 0.252
O 0.748 0.252 0.748
Nb 0.500 0.500 0.500
La 0.750 0.750 0.750
O 0.252 0.252 0.748
Hf 0.000 0.000 0.000
O 0.252 0.748 0.252
O 0.252 0.748 0.748

Summary:
total energy = -8.476 eV/atom
Fermi-level density of states = 3.52 states/eV per cell
uncorrected formation energy = -2.8740 eV/atom


5.
NaLaHf2O6 | PBE-GGA | optimized geometry

a = 5.811 Å, b = 5.811 Å, c = 5.811 Å
α = 60.00°, β = 60.00°, γ = 60.00°
Fractional positions:
Hf 0.250 0.250 0.250
La 0.000 0.000 0.000
O 0.500 0.500 0.000
O 0.000 0.000 0.500
Na 0.500 0.500 0.500
O 0.000 0.500 0.000
O 0.500 0.000 0.000
O 0.500 0.000 0.500
Hf 0.750 0.750 0.750
O 0.000 0.500 0.500

Summary:
total energy = -8.768 eV/atom
Fermi-level density of states = 0.00 states/eV per cell
uncorrected formation energy = -3.1777 eV/atom


6.
NaLaHfTiO6 | PBE-GGA | optimized geometry

a = 5.662 Å, b = 5.662 Å, c = 5.662 Å
α = 60.00°, β = 60.00°, γ = 60.00°
Fractional positions:
O 0.256 0.744 0.744
Ti 0.500 0.500 0.500
O 0.256 0.256 0.744
Hf 0.000 0.000 0.000
Na 0.750 0.750 0.750
O 0.256 0.744 0.256
La 0.250 0.250 0.250
O 0.744 0.256 0.744
O 0.744 0.256 0.256
O 0.744 0.744 0.256

Summary:
total energy = -8.464 eV/atom
Fermi-level density of states = 0.00 states/eV per cell
uncorrected formation energy = -3.0800 eV/atom